Crystalline NaAuBr3 at its relaxed geometry. Source: Alexandria, functional PBE-GGA.

Properties
size of the total moment	0.000	μB per atom
SG	P2_1, No. 4
total DFT energy (no corrections)	-0.096	hartree per atom
ΔE_f (raw)	-697	meV/atom

a = 5.271 Å, b = 8.876 Å, c = 8.171 Å
α = 89.98°, β = 90.00°, γ = 114.62°
Atoms (fractional coordinates):
Br 0.883 0.945 0.541
Br 0.528 0.441 0.041
Au 0.869 0.923 0.844
Br 0.530 0.443 0.648
Na 0.080 0.516 0.845
Br 0.881 0.942 0.148
Br 0.065 0.494 0.343
Br 0.347 0.891 0.843
Au 0.542 0.462 0.344
Na 0.331 0.869 0.345